Al2POs | PBE | relaxed

Values from the calculation:
Energy of formation   -354 meV per atom
E_tot   -6.385 eV per atom
Space group   Amm2 (38)
Volume   117 Å³/cell
M_tot   0.000 μB per formula unit

Cell: 4.0467 3.1464 9.2053 Å, 90.00 90.00 90.00°
Sites, in units of the cell vectors:
Al: 0.0000 0.0000 0.0000
Al: 0.0000 0.5000 0.5000
Al: 0.5000 0.0000 0.3186
Al: 0.5000 0.5000 0.8186
P: 0.0000 0.0000 0.7361
P: 0.0000 0.5000 0.2361
Os: 0.5000 0.0000 0.5948
Os: 0.5000 0.5000 0.0948



AlPOs2 | PBE | relaxed

Values from the calculation:
Energy of formation   663 meV per atom
Energy above the lowest structure with this stoichiometry   0.899 eV/atom
E_tot   -7.240 eV per atom
Space group   I-42d (122)
Volume   308 Å³/cell
M_tot   0.000 μB per formula unit

Cell: 5.7401 5.7401 9.3615 Å, 90.00 90.00 90.00°
Sites, in units of the cell vectors:
Al: 0.0000 0.0000 0.0000
Al: 0.0000 0.5000 0.2500
Al: 0.5000 0.0000 0.7500
Al: 0.5000 0.5000 0.5000
P: 0.0000 0.0000 0.5000
P: 0.0000 0.5000 0.7500
P: 0.5000 0.0000 0.2500
P: 0.5000 0.5000 0.0000
Os: 0.2164 0.2500 0.6250
Os: 0.2500 0.7164 0.8750
Os: 0.2500 0.7836 0.3750
Os: 0.2836 0.2500 0.1250
Os: 0.7164 0.7500 0.1250
Os: 0.7500 0.2164 0.3750
Os: 0.7500 0.2836 0.8750
Os: 0.7836 0.7500 0.6250



AlPOs | PBE | relaxed

Values from the calculation:
Energy of formation   -85 meV per atom
Energy above the lowest structure with this stoichiometry   0.119 eV/atom
E_tot   -6.879 eV per atom
Space group   P-6m2 (187)
Volume   43 Å³/cell
M_tot   0.000 μB per formula unit

Cell: 4.0571 4.0571 3.0235 Å, 90.00 90.00 120.00°
Sites, in units of the cell vectors:
Al: 0.0000 0.0000 0.0000
P: 0.3333 0.6667 0.5000
Os: 0.6667 0.3333 0.5000



Al2POs | PBE | relaxed

Values from the calculation:
Energy of formation   25 meV per atom
E_tot   -6.007 eV per atom
Space group   Pmm2 (25)
Volume   58 Å³/cell
M_tot   0.000 μB per formula unit

Cell: 3.0686 3.6522 5.1998 Å, 90.00 90.00 90.00°
Sites, in units of the cell vectors:
Al: 0.0000 0.0000 0.0000
Al: 0.5000 0.5000 0.2962
P: 0.5000 0.5000 0.7922
Os: 0.0000 0.0000 0.4891



AlP2Os | PBE | relaxed

Values from the calculation:
Energy of formation   307 meV per atom
E_tot   -6.141 eV per atom
Space group   Cmm2 (35)
Volume   129 Å³/cell
M_tot   0.000 μB per formula unit

Cell: 2.8822 4.8161 9.3266 Å, 90.00 90.00 90.00°
Sites, in units of the cell vectors:
Al: 0.0000 0.0000 0.0000
Al: 0.5000 0.5000 0.0000
P: 0.0000 0.0000 0.4303
P: 0.0000 0.5000 0.7783
P: 0.5000 0.0000 0.7783
P: 0.5000 0.5000 0.4303
Os: 0.0000 0.5000 0.2285
Os: 0.5000 0.0000 0.2285



Al2POs | PBE | relaxed

Values from the calculation:
Energy of formation   -69 meV per atom
E_tot   -6.100 eV per atom
Space group   P4/mmm (123)
Volume   57 Å³/cell
M_tot   0.000 μB per formula unit

Cell: 4.2966 4.2966 3.1066 Å, 90.00 90.00 90.00°
Sites, in units of the cell vectors:
Al: 0.0000 0.5000 0.0000
Al: 0.5000 0.0000 0.0000
P: 0.0000 0.0000 0.5000
Os: 0.5000 0.5000 0.5000



Al2POs | PBE | relaxed

Values from the calculation:
Energy of formation   -165 meV per atom
E_tot   -6.196 eV per atom
Space group   Cm (8)
Volume   114 Å³/cell
M_tot   0.000 μB per formula unit

Cell: 8.6083 2.9916 4.4468 Å, 90.00 96.62 90.00°
Sites, in units of the cell vectors:
Al: 0.0000 0.0000 0.0000
Al: 0.2374 0.0000 0.7269
Al: 0.5000 0.5000 0.0000
Al: 0.7374 0.5000 0.7269
P: 0.2629 0.5000 0.2514
P: 0.7629 0.0000 0.2514
Os: 0.4922 0.0000 0.4920
Os: 0.9922 0.5000 0.4920



AlP2Os | PBE | relaxed

Values from the calculation:
Energy of formation   88 meV per atom
E_tot   -6.360 eV per atom
Space group   R-3m (166)
Volume   175 Å³/cell
M_tot   0.000 μB per formula unit

Cell: 3.0883 3.0883 21.2411 Å, 90.00 90.00 120.00°
Sites, in units of the cell vectors:
Al: 0.0000 0.0000 0.0000
Al: 0.3333 0.6667 0.6667
Al: 0.6667 0.3333 0.3333
P: 0.0000 0.0000 0.2479
P: 0.0000 0.0000 0.7521
P: 0.3333 0.6667 0.4188
P: 0.3333 0.6667 0.9146
P: 0.6667 0.3333 0.0854
P: 0.6667 0.3333 0.5812
Os: 0.0000 0.0000 0.5000
Os: 0.3333 0.6667 0.1667
Os: 0.6667 0.3333 0.8333



Al2POs | PBE | relaxed

Values from the calculation:
Energy of formation   -153 meV per atom
E_tot   -6.184 eV per atom
Space group   Imm2 (44)
Volume   128 Å³/cell
M_tot   0.000 μB per formula unit

Cell: 2.8632 4.1421 10.8175 Å, 90.00 90.00 90.00°
Sites, in units of the cell vectors:
Al: 0.0000 0.0000 0.0000
Al: 0.0000 0.5000 0.1925
Al: 0.5000 0.0000 0.6925
Al: 0.5000 0.5000 0.5000
P: 0.0000 0.0000 0.3921
P: 0.5000 0.5000 0.8921
Os: 0.0000 0.5000 0.7144
Os: 0.5000 0.0000 0.2144



AlP2Os | PBE | relaxed

Values from the calculation:
Energy of formation   57 meV per atom
E_tot   -6.391 eV per atom
Space group   Pmm2 (25)
Volume   57 Å³/cell
M_tot   0.000 μB per formula unit

Cell: 2.9915 3.7961 5.0626 Å, 90.00 90.00 90.00°
Sites, in units of the cell vectors:
Al: 0.0000 0.0000 0.0000
P: 0.0000 0.0000 0.4954
P: 0.5000 0.5000 0.8725
Os: 0.5000 0.5000 0.3868



Al2POs | PBE | relaxed

Values from the calculation:
Energy of formation   46 meV per atom
E_tot   -5.985 eV per atom
Space group   I-4m2 (119)
Volume   114 Å³/cell
M_tot   0.000 μB per formula unit

Cell: 3.9795 3.9795 7.1788 Å, 90.00 90.00 90.00°
Sites, in units of the cell vectors:
Al: 0.0000 0.0000 0.0000
Al: 0.0000 0.5000 0.2500
Al: 0.5000 0.0000 0.7500
Al: 0.5000 0.5000 0.5000
P: 0.0000 0.0000 0.5000
P: 0.5000 0.5000 0.0000
Os: 0.0000 0.5000 0.7500
Os: 0.5000 0.0000 0.2500



AlPOs2 | PBE | relaxed

Values from the calculation:
Energy of formation   -54 meV per atom
Energy above the lowest structure with this stoichiometry   0.182 eV/atom
E_tot   -7.957 eV per atom
Space group   P2/m (10)
Volume   56 Å³/cell
M_tot   0.000 μB per formula unit

Cell: 2.9102 3.7182 5.3975 Å, 90.00 105.58 90.00°
Sites, in units of the cell vectors:
Al: 0.0000 0.0000 0.0000
P: 0.0000 0.0000 0.5000
Os: 0.3526 0.5000 0.7324
Os: 0.6474 0.5000 0.2676



Please write out number 1 again, unchanged.
Al2POs | PBE | relaxed

Values from the calculation:
Energy of formation   -354 meV per atom
E_tot   -6.385 eV per atom
Space group   Amm2 (38)
Volume   117 Å³/cell
M_tot   0.000 μB per formula unit

Cell: 4.0467 3.1464 9.2053 Å, 90.00 90.00 90.00°
Sites, in units of the cell vectors:
Al: 0.0000 0.0000 0.0000
Al: 0.0000 0.5000 0.5000
Al: 0.5000 0.0000 0.3186
Al: 0.5000 0.5000 0.8186
P: 0.0000 0.0000 0.7361
P: 0.0000 0.5000 0.2361
Os: 0.5000 0.0000 0.5948
Os: 0.5000 0.5000 0.0948